The following is a DFT calculation (GGA-PBE) of crystalline Ba3Cu4 at its relaxed geometry.

a b c (Å): 7.7956 7.7956 4.6205
angles (deg): 90.00 90.00 120.00
Last column: nearest neighbours and their distance in Å.
Fractional coordinates of all 7 atoms:
1 Cu 0.0000 0.0000 0.2489  2 Cu 2.30-2.32
2 Cu 0.6667 0.3333 0.5000  6 Ba 3.23
3 Cu 0.0000 0.0000 0.7511  2 Cu 2.30-2.32
4 Cu 0.3333 0.6667 0.5000  6 Ba 3.23
5 Ba 0.5000 0.0000 0.0000  4 Cu 3.23
6 Ba 0.5000 0.5000 0.0000  4 Cu 3.23
7 Ba 0.0000 0.5000 0.0000  4 Cu 3.23

Calculated values
Space-group type = P6/mmm, No. 191
Electronic total energy = -2.77 eV per atom
DFT formation energy = 0.396 eV/atom